NaInNi2Sn: optimized geometry, PBE.

Output
Final energy = -2.80 eV per atom

Cell and atoms, written as CIF:
```
data_NaInNi2Sn
_chemical_formula_sum 'Na1 In1 Ni2 Sn1'
_cell_length_a 4.656
_cell_length_b 4.656
_cell_length_c 5.033
_cell_angle_alpha 90.00
_cell_angle_beta 90.00
_cell_angle_gamma 90.00
_symmetry_space_group_name_H-M 'P 1'
_symmetry_Int_Tables_number 1
loop_
_symmetry_equiv_pos_as_xyz
'x,y,z'
loop_
_atom_site_label
_atom_site_type_symbol
_atom_site_fract_x
_atom_site_fract_y
_atom_site_fract_z
Na1 Na 0.000 0.000 0.000
In1 In 0.000 0.000 0.500
Ni1 Ni 0.000 0.500 0.000
Ni2 Ni 0.500 0.000 0.000
Sn1 Sn 0.500 0.500 0.500
```

---

Sr2GaGe2: optimized geometry, PBE.

Output
Final energy = -3.57 eV per atom

Cell and atoms, written as CIF:
```
data_Sr2GaGe2
_chemical_formula_sum 'Sr2 Ga1 Ge2'
_cell_length_a 4.610
_cell_length_b 7.509
_cell_length_c 7.509
_cell_angle_alpha 31.54
_cell_angle_beta 90.00
_cell_angle_gamma 90.00
_symmetry_space_group_name_H-M 'P 1'
_symmetry_Int_Tables_number 1
loop_
_symmetry_equiv_pos_as_xyz
'x,y,z'
loop_
_atom_site_label
_atom_site_type_symbol
_atom_site_fract_x
_atom_site_fract_y
_atom_site_fract_z
Sr1 Sr 0.000 0.000 0.000
Sr2 Sr 0.000 0.243 0.243
Ga1 Ga 0.500 0.820 0.820
Ge1 Ge 0.500 0.420 0.420
Ge2 Ge 0.500 0.631 0.631
```

---

BeZnSe2: optimized geometry, PBE.

Output
Energy relative to the elements, uncorrected = 0.592 eV per atom
E above lowest polymorph = 30.86 kcal/mol of atoms

Cell and atoms, written as CIF:
```
data_BeZnSe2
_chemical_formula_sum 'Be1 Zn1 Se2'
_cell_length_a 4.638
_cell_length_b 4.638
_cell_length_c 4.638
_cell_angle_alpha 60.00
_cell_angle_beta 60.00
_cell_angle_gamma 60.00
_symmetry_space_group_name_H-M 'P 1'
_symmetry_Int_Tables_number 1
loop_
_symmetry_equiv_pos_as_xyz
'x,y,z'
loop_
_atom_site_label
_atom_site_type_symbol
_atom_site_fract_x
_atom_site_fract_y
_atom_site_fract_z
Be1 Be 0.000 0.000 0.000
Zn1 Zn 0.250 0.250 0.250
Se1 Se 0.500 0.500 0.500
Se2 Se 0.750 0.750 0.750
```

---

Tb6NdEr3Sc2: optimized geometry, PBE.

Output
Final energy = -4.87 eV per atom

Cell and atoms, written as CIF:
```
data_Tb6NdEr3Sc2
_chemical_formula_sum 'Tb6 Nd1 Er3 Sc2'
_cell_length_a 6.077
_cell_length_b 6.077
_cell_length_c 11.612
_cell_angle_alpha 94.98
_cell_angle_beta 94.98
_cell_angle_gamma 119.96
_symmetry_space_group_name_H-M 'P 1'
_symmetry_Int_Tables_number 1
loop_
_symmetry_equiv_pos_as_xyz
'x,y,z'
loop_
_atom_site_label
_atom_site_type_symbol
_atom_site_fract_x
_atom_site_fract_y
_atom_site_fract_z
Tb1 Tb 0.081 0.417 0.752
Tb2 Tb 0.247 0.247 0.248
Tb3 Tb 0.417 0.081 0.752
Tb4 Tb 0.583 0.919 0.248
Tb5 Tb 0.753 0.753 0.752
Tb6 Tb 0.919 0.583 0.248
Nd1 Nd 0.500 0.500 0.000
Er1 Er 0.000 0.000 0.500
Er2 Er 0.333 0.667 0.500
Er3 Er 0.667 0.333 0.500
Sc1 Sc 0.167 0.833 0.000
Sc2 Sc 0.833 0.167 0.000
```

---

NaSr4TlIn2: optimized geometry, PBE.

Output
Final energy = -2.32 eV per atom

Cell and atoms, written as CIF:
```
data_NaSr4TlIn2
_chemical_formula_sum 'Na1 Sr4 Tl1 In2'
_cell_length_a 10.149
_cell_length_b 10.149
_cell_length_c 10.149
_cell_angle_alpha 33.54
_cell_angle_beta 33.54
_cell_angle_gamma 33.54
_symmetry_space_group_name_H-M 'P 1'
_symmetry_Int_Tables_number 1
loop_
_symmetry_equiv_pos_as_xyz
'x,y,z'
loop_
_atom_site_label
_atom_site_type_symbol
_atom_site_fract_x
_atom_site_fract_y
_atom_site_fract_z
Na1 Na 0.000 0.000 0.000
Sr1 Sr 0.129 0.129 0.129
Sr2 Sr 0.379 0.379 0.379
Sr3 Sr 0.621 0.621 0.621
Sr4 Sr 0.871 0.871 0.871
Tl1 Tl 0.500 0.500 0.500
In1 In 0.254 0.254 0.254
In2 In 0.746 0.746 0.746
```

---

Dy6Er3Tm: optimized geometry, PBE.

Output
E above lowest polymorph = 0.00 kcal/mol of atoms

Cell and atoms, written as CIF:
```
data_Dy6Er3Tm
_chemical_formula_sum 'Dy12 Er6 Tm2'
_cell_length_a 11.422
_cell_length_b 11.422
_cell_length_c 6.303
_cell_angle_alpha 90.00
_cell_angle_beta 90.00
_cell_angle_gamma 130.54
_symmetry_space_group_name_H-M 'P 1'
_symmetry_Int_Tables_number 1
loop_
_symmetry_equiv_pos_as_xyz
'x,y,z'
loop_
_atom_site_label
_atom_site_type_symbol
_atom_site_fract_x
_atom_site_fract_y
_atom_site_fract_z
Dy1 Dy 0.015 0.985 0.500
Dy2 Dy 0.104 0.543 0.005
Dy3 Dy 0.258 0.378 0.246
Dy4 Dy 0.301 0.699 0.465
Dy5 Dy 0.378 0.258 0.746
Dy6 Dy 0.457 0.896 0.005
Dy7 Dy 0.543 0.104 0.505
Dy8 Dy 0.622 0.742 0.246
Dy9 Dy 0.699 0.301 0.965
Dy10 Dy 0.742 0.622 0.746
Dy11 Dy 0.896 0.457 0.505
Dy12 Dy 0.985 0.015 0.000
Er1 Er 0.042 0.295 0.669
Er2 Er 0.295 0.042 0.169
Er3 Er 0.420 0.580 0.770
Er4 Er 0.580 0.420 0.270
Er5 Er 0.705 0.958 0.669
Er6 Er 0.958 0.705 0.169
Tm1 Tm 0.161 0.839 0.696
Tm2 Tm 0.839 0.161 0.196
```

---

Y2TaSiPb: optimized geometry, PBE.

Output
Energy relative to the elements, uncorrected = 0.808 eV per atom

Cell and atoms, written as CIF:
```
data_Y2TaSiPb
_chemical_formula_sum 'Y2 Ta1 Si1 Pb1'
_cell_length_a 5.419
_cell_length_b 5.419
_cell_length_c 5.239
_cell_angle_alpha 90.00
_cell_angle_beta 90.00
_cell_angle_gamma 90.00
_symmetry_space_group_name_H-M 'P 1'
_symmetry_Int_Tables_number 1
loop_
_symmetry_equiv_pos_as_xyz
'x,y,z'
loop_
_atom_site_label
_atom_site_type_symbol
_atom_site_fract_x
_atom_site_fract_y
_atom_site_fract_z
Y1 Y 0.000 0.500 0.000
Y2 Y 0.500 0.000 0.000
Ta1 Ta 0.000 0.000 0.500
Si1 Si 0.500 0.500 0.000
Pb1 Pb 0.500 0.500 0.500
```

---

RbSn2W: optimized geometry, PBE.

Output
E above lowest polymorph = 0.00 kcal/mol of atoms

Cell and atoms, written as CIF:
```
data_RbSn2W
_chemical_formula_sum 'Rb2 Sn4 W2'
_cell_length_a 9.314
_cell_length_b 9.314
_cell_length_c 9.314
_cell_angle_alpha 138.13
_cell_angle_beta 138.13
_cell_angle_gamma 60.71
_symmetry_space_group_name_H-M 'P 1'
_symmetry_Int_Tables_number 1
loop_
_symmetry_equiv_pos_as_xyz
'x,y,z'
loop_
_atom_site_label
_atom_site_type_symbol
_atom_site_fract_x
_atom_site_fract_y
_atom_site_fract_z
Rb1 Rb 0.375 0.625 0.750
Rb2 Rb 0.625 0.375 0.250
Sn1 Sn 0.000 0.000 0.000
Sn2 Sn 0.000 0.000 0.500
Sn3 Sn 0.000 0.500 0.000
Sn4 Sn 0.500 0.000 0.500
W1 W 0.125 0.875 0.250
W2 W 0.875 0.125 0.750
```